(1)
Material: Cs3H7W
Method: DFT, PBE
State: relaxed

Values from the calculation:
The space-group type is Cm.

a = 6.5078 Å, b = 6.5078 Å, c = 6.6691 Å
α = 118.24°, β = 118.24°, γ = 91.62°
Closest atoms and distances in Å follow each position.
Sites, in units of the cell vectors:
Cs 0.0000 0.0000 0.0000  7 H 2.90-3.07
Cs 0.2357 0.7355 0.4998  4 H 2.87-3.10
Cs 0.7355 0.2357 0.4998  4 H 2.87-3.10
H 0.2087 0.4283 0.9998  1 W 1.79
H 0.2884 0.2884 0.6176  1 W 1.87
H 0.3509 0.7232 0.0000  1 W 1.81
H 0.4283 0.2087 0.9998  1 W 1.79
H 0.6710 0.6710 0.3816  1 W 1.87
H 0.6791 0.6791 0.9965  1 W 1.82
H 0.7232 0.3509 0.0000  1 W 1.81
W 0.4800 0.4800 0.9996  7 H 1.79-1.87

(2)
Material: Y2SeS
Method: DFT, PBE
State: relaxed

Values from the calculation:
The space-group type is R-3m.

a = 6.9807 Å, b = 6.9807 Å, c = 6.9807 Å
α = 33.26°, β = 33.26°, γ = 33.26°
Closest atoms and distances in Å follow each position.
Sites, in units of the cell vectors:
Y 0.2410 0.2410 0.2410  3 S 2.74, 3 Se 2.94
Y 0.7590 0.7590 0.7590  3 S 2.74, 3 Se 2.94
Se 0.0000 0.0000 0.0000  6 Y 2.94
S 0.5000 0.5000 0.5000  6 Y 2.74

(3)
Material: TiBi2Cl2
Method: DFT, PBE
State: relaxed

Values from the calculation:
The space-group type is I4/mmm.

a = 9.7083 Å, b = 9.7083 Å, c = 9.7083 Å
α = 157.52°, β = 157.52°, γ = 32.00°
Closest atoms and distances in Å follow each position.
Sites, in units of the cell vectors:
Ti 0.0000 0.0000 0.0000  8 Bi 3.09
Bi 0.4170 0.4170 0.0000  4 Ti 3.09, 1 Bi 3.10
Bi 0.5830 0.5830 0.0000  4 Ti 3.09, 1 Bi 3.10
Cl 0.2500 0.7500 0.5000  4 Cl 2.68
Cl 0.7500 0.2500 0.5000  4 Cl 2.68

Energy (eV/atom)
-3.65 -7.03 -3.78